Na3TeMo after structural relaxation. Source: Alexandria, functional PBEsol.

The structure in POSCAR format:
```
Na3TeMo
1.0
5.796 0.000 0.000
0.000 5.796 0.000
0.000 0.000 5.796
Na Te Mo
3 1 1
Direct
0.000 0.000 0.500
0.000 0.500 0.000
0.500 0.000 0.000
0.000 0.000 0.000
0.500 0.500 0.500
```

Computed properties:
Its total energy is -3.134 eV/atom. The value obtained for the raw formation energy is 0.7644 eV/atom.

=====

Mo2PbBr after structural relaxation. Source: Alexandria, functional PBEsol.

The structure in POSCAR format:
```
Mo2PbBr
1.0
0.000 3.286 3.286
3.286 0.000 3.286
3.286 3.286 0.000
Mo Pb Br
2 1 1
Direct
0.250 0.250 0.250
0.750 0.750 0.750
0.000 0.000 0.000
0.500 0.500 0.500
```

Computed properties:
Its total energy is -6.355 eV/atom. The value obtained for the raw formation energy is 0.9964 eV/atom. The offset from the most stable computed form comes out at 17.973 kcal/mol of atoms.

=====

Fe5As after structural relaxation. Source: Alexandria, functional PBEsol.

The structure in POSCAR format:
```
Fe5As
1.0
1.452 -5.921 0.000
1.452 5.921 0.000
0.000 0.000 3.892
Fe As
5 1
Direct
0.000 0.000 0.000
0.168 0.832 0.500
0.332 0.668 0.000
0.668 0.332 0.000
0.832 0.168 0.500
0.500 0.500 0.500
```

Computed properties:
Its total energy is -8.327 eV/atom. For the formation energy, the calculation gives -0.007 eV/atom.

=====

Bi2W2O9 after structural relaxation. Source: Alexandria, functional PBEsol.

The structure in POSCAR format:
```
Bi2W2O9
1.0
23.846 0.000 0.000
0.000 5.408 0.000
0.000 0.000 5.408
Bi W O
8 8 36
Direct
0.196 0.230 0.147
0.196 0.770 0.647
0.304 0.270 0.647
0.304 0.730 0.147
0.696 0.270 0.853
0.696 0.730 0.353
0.804 0.230 0.353
0.804 0.770 0.853
0.077 0.254 0.675
0.077 0.746 0.175
0.423 0.246 0.175
0.423 0.754 0.675
0.577 0.246 0.325
0.577 0.754 0.825
0.923 0.254 0.825
0.923 0.746 0.325
0.000 0.308 0.750
0.000 0.692 0.250
0.067 0.041 0.425
0.067 0.959 0.925
0.089 0.465 0.996
0.089 0.535 0.496
0.153 0.181 0.728
0.153 0.819 0.228
0.249 0.493 0.917
0.249 0.507 0.417
0.251 0.007 0.417
0.251 0.993 0.917
0.347 0.319 0.228
0.347 0.681 0.728
0.411 0.035 0.496
0.411 0.965 0.996
0.433 0.459 0.925
0.433 0.541 0.425
0.500 0.192 0.250
0.500 0.808 0.750
0.567 0.459 0.575
0.567 0.541 0.075
0.589 0.035 0.004
0.589 0.965 0.504
0.653 0.319 0.272
0.653 0.681 0.772
0.749 0.007 0.083
0.749 0.993 0.583
0.751 0.493 0.583
0.751 0.507 0.083
0.847 0.181 0.772
0.847 0.819 0.272
0.911 0.465 0.504
0.911 0.535 0.004
0.933 0.041 0.075
0.933 0.959 0.575
```

Computed properties:
Its total energy is -8.273 eV/atom. The value obtained for the raw formation energy is -1.8555 eV/atom.

=====

CaCd3Ga after structural relaxation. Source: Alexandria, functional PBEsol.

The structure in POSCAR format:
```
CaCd3Ga
1.0
5.098 0.000 0.000
0.000 5.098 0.000
0.000 0.000 5.098
Ca Cd Ga
1 3 1
Direct
0.000 0.000 0.000
0.000 0.500 0.500
0.500 0.000 0.500
0.500 0.500 0.000
0.500 0.500 0.500
```

Computed properties:
Its total energy is -1.731 eV/atom. For the formation energy, the calculation gives 0.082 eV/atom.

=====

YSc2CrGe after structural relaxation. Source: Alexandria, functional PBEsol.

The structure in POSCAR format:
```
YSc2CrGe
1.0
4.705 0.000 0.000
0.000 4.705 0.000
0.000 0.000 4.981
Y Sc Cr Ge
1 2 1 1
Direct
0.000 0.000 0.000
0.000 0.500 0.500
0.500 0.000 0.500
0.000 0.000 0.500
0.500 0.500 0.000
```

Computed properties:
Its total energy is -6.699 eV/atom. For the formation energy, the calculation gives 0.343 eV/atom.

=====

NaAl3Co after structural relaxation. Source: Alexandria, functional PBEsol.

The structure in POSCAR format:
```
NaAl3Co
1.0
4.514 0.000 0.000
0.000 4.514 0.000
0.000 0.000 4.514
Na Al Co
1 3 1
Direct
0.000 0.000 0.000
0.000 0.500 0.500
0.500 0.000 0.500
0.500 0.500 0.000
0.500 0.500 0.500
```

Computed properties:
Its total energy is -4.391 eV/atom. For the formation energy, the calculation gives -0.109 eV/atom. The offset from the most stable computed form comes out at 0.000 kcal/mol of atoms.

=====

ZrCd2Hg after structural relaxation. Source: Alexandria, functional PBEsol.

The structure in POSCAR format:
```
ZrCd2Hg
1.0
2.998 -5.155 0.000
2.998 5.155 0.000
-1.079 0.000 2.675
Zr Cd Hg
1 2 1
Direct
0.000 0.000 0.000
0.000 0.500 0.500
0.500 0.000 0.500
0.500 0.500 0.000
```

Computed properties:
Its total energy is -3.084 eV/atom. For the formation energy, the calculation gives -0.071 eV/atom.

=====

Sr2CdHg after structural relaxation. Source: Alexandria, functional PBEsol.

The structure in POSCAR format:
```
Sr2CdHg
1.0
6.032 -1.923 0.000
6.032 1.923 0.000
-1.836 0.000 5.306
Sr Cd Hg
2 1 1
Direct
0.000 0.000 0.000
0.203 0.203 0.643
0.758 0.758 0.191
0.456 0.456 0.467
```

Computed properties:
Its total energy is -1.727 eV/atom. For the formation energy, the calculation gives -0.366 eV/atom.

=====

TaAgBr2 after structural relaxation. Source: Alexandria, functional PBEsol.

The structure in POSCAR format:
```
TaAgBr2
1.0
4.868 0.000 0.000
0.000 4.868 0.000
0.000 0.000 3.199
Ta Ag Br
1 1 2
Direct
0.000 0.000 0.000
0.500 0.500 0.000
0.000 0.500 0.500
0.500 0.000 0.500
```

Computed properties:
Its total energy is -4.304 eV/atom. The value obtained for the raw formation energy is 0.5964 eV/atom. The offset from the most stable computed form comes out at 0.000 kcal/mol of atoms.

=====

TcW2Au after structural relaxation. Source: Alexandria, functional PBEsol.

The structure in POSCAR format:
```
TcW2Au
1.0
4.609 -1.441 0.000
4.609 1.441 0.000
-0.901 0.000 4.654
Tc W Au
1 2 1
Direct
0.000 0.000 0.000
0.253 0.253 0.756
0.747 0.747 0.244
0.500 0.500 0.500
```

Computed properties:
Its total energy is -10.390 eV/atom. For the formation energy, the calculation gives 0.311 eV/atom. The offset from the most stable computed form comes out at 0.742 kcal/mol of atoms.

=====

Ni3BiSe after structural relaxation. Source: Alexandria, functional PBEsol.

The structure in POSCAR format:
```
Ni3BiSe
1.0
4.382 0.000 0.000
0.000 4.382 0.000
0.000 0.000 4.382
Ni Bi Se
3 1 1
Direct
0.000 0.000 0.500
0.000 0.500 0.000
0.500 0.000 0.000
0.500 0.500 0.500
0.000 0.000 0.000
```

Computed properties:
Its total energy is -5.053 eV/atom. The value obtained for the raw formation energy is 0.2688 eV/atom.